Compound: TmAlPt
Source: Alexandria via LeMat-Bulk
Functional: GGA-PBE
Structure: relaxed

## Properties
Symmetry: No. 70
Energy relative to the elements in eV per atom: -0.8867

The structure in POSCAR format:
```
TmAlPt
1.0
0.000 5.504 5.984
3.862 0.000 5.984
3.862 5.504 0.000
Tm Al Pt
4 4 4
direct
0.000 0.000 0.000 Tm
0.000 0.000 0.500 Tm
0.000 0.500 0.000 Tm
0.500 0.000 0.000 Tm
0.247 0.503 0.247 Al
0.497 0.753 0.497 Al
0.503 0.247 0.503 Al
0.753 0.497 0.753 Al
0.197 0.197 0.553 Pt
0.447 0.447 0.803 Pt
0.553 0.553 0.197 Pt
0.803 0.803 0.447 Pt
```


Compound: Ca2CdHg
Source: Alexandria via LeMat-Bulk
Functional: GGA-PBE
Structure: relaxed

## Properties
Symmetry: No. 119
Polymorph energy (0 for the lowest one) in meV/atom: 148
Energy relative to the elements in eV per atom: -0.3068

The structure in POSCAR format:
```
Ca2CdHg
1.0
-2.305 2.305 5.445
2.305 -2.305 5.445
2.305 2.305 -5.445
Ca Cd Hg
2 1 1
direct
0.000 0.000 0.000 Ca
0.750 0.250 0.500 Ca
0.250 0.750 0.500 Cd
0.500 0.500 0.000 Hg
```


Compound: AlPdN
Source: Alexandria via LeMat-Bulk
Functional: GGA-PBE
Structure: relaxed

## Properties
DFT total energy in eV/atom: -6.343
Symmetry: No. 8

The structure in POSCAR format:
```
AlPdN
1.0
2.691 -1.497 0.000
2.691 1.497 0.000
-2.518 0.000 9.293
Al Pd N
2 2 2
direct
0.000 0.000 0.000 Al
0.544 0.544 0.720 Al
0.109 0.109 0.493 Pd
0.340 0.340 0.261 Pd
0.704 0.704 0.063 N
0.907 0.907 0.793 N
```


Compound: TaTe4
Source: Alexandria via LeMat-Bulk
Functional: GGA-PBE
Structure: relaxed

## Properties
Symmetry: No. 130
Polymorph energy (0 for the lowest one) in meV/atom: 0

The structure in POSCAR format:
```
TaTe4
1.0
9.363 0.000 0.000
0.000 9.363 0.000
0.000 0.000 20.897
Ta Te
12 48
direct
0.250 0.250 0.069 Ta
0.250 0.250 0.264 Ta
0.250 0.250 0.415 Ta
0.250 0.250 0.569 Ta
0.250 0.250 0.764 Ta
0.250 0.250 0.915 Ta
0.750 0.750 0.085 Ta
0.750 0.750 0.236 Ta
0.750 0.750 0.431 Ta
0.750 0.750 0.585 Ta
0.750 0.750 0.736 Ta
0.750 0.750 0.931 Ta
0.009 0.165 0.336 Te
0.009 0.335 0.836 Te
0.013 0.158 0.997 Te
0.013 0.342 0.497 Te
0.036 0.154 0.666 Te
0.036 0.346 0.166 Te
0.154 0.036 0.166 Te
0.154 0.464 0.666 Te
0.158 0.013 0.497 Te
0.158 0.487 0.997 Te
0.165 0.009 0.836 Te
0.165 0.491 0.336 Te
0.335 0.009 0.336 Te
0.335 0.491 0.836 Te
0.342 0.013 0.997 Te
0.342 0.487 0.497 Te
0.346 0.036 0.666 Te
0.346 0.464 0.166 Te
0.464 0.154 0.166 Te
0.464 0.346 0.666 Te
0.487 0.158 0.497 Te
0.487 0.342 0.997 Te
0.491 0.165 0.836 Te
0.491 0.335 0.336 Te
0.509 0.665 0.664 Te
0.509 0.835 0.164 Te
0.513 0.658 0.003 Te
0.513 0.842 0.503 Te
0.536 0.654 0.334 Te
0.536 0.846 0.834 Te
0.654 0.536 0.834 Te
0.654 0.964 0.334 Te
0.658 0.513 0.503 Te
0.658 0.987 0.003 Te
0.665 0.509 0.164 Te
0.665 0.991 0.664 Te
0.835 0.509 0.664 Te
0.835 0.991 0.164 Te
0.842 0.513 0.003 Te
0.842 0.987 0.503 Te
0.846 0.536 0.334 Te
0.846 0.964 0.834 Te
0.964 0.654 0.834 Te
0.964 0.846 0.334 Te
0.987 0.658 0.503 Te
0.987 0.842 0.003 Te
0.991 0.665 0.164 Te
0.991 0.835 0.664 Te
```


Compound: NaTb2Y3Se6
Source: Alexandria via LeMat-Bulk
Functional: GGA-PBE
Structure: relaxed

## Properties
DFT total energy in eV/atom: -5.998
Symmetry: No. 12

The structure in POSCAR format:
```
NaTb2Y3Se6
1.0
8.956 -2.044 0.000
8.956 2.044 0.000
-1.904 0.000 8.022
Na Tb Y Se
1 2 3 6
direct
0.000 0.000 0.000 Na
0.331 0.331 0.658 Tb
0.669 0.669 0.342 Tb
0.000 0.000 0.500 Y
0.336 0.336 0.174 Y
0.664 0.664 0.826 Y
0.165 0.165 0.585 Se
0.168 0.168 0.083 Se
0.498 0.498 0.747 Se
0.502 0.502 0.253 Se
0.832 0.832 0.917 Se
0.835 0.835 0.415 Se
```


Compound: PrDy2ZrAs4
Source: Alexandria via LeMat-Bulk
Functional: GGA-PBE
Structure: relaxed

## Properties
Symmetry: No. 10
Energy relative to the elements in eV per atom: -1.3949

The structure in POSCAR format:
```
PrDy2ZrAs4
1.0
7.082 0.000 0.000
0.000 4.095 0.000
-2.344 0.000 6.705
Pr Dy Zr As
1 2 1 4
direct
0.000 0.000 0.000 Pr
0.500 0.000 0.500 Dy
0.500 0.500 0.000 Dy
0.000 0.500 0.500 Zr
0.244 0.000 0.736 As
0.252 0.500 0.264 As
0.748 0.500 0.736 As
0.756 0.000 0.264 As
```


| no. | total magnetic moment (μB per formula unit) |
| --- | --- |
| 1 | 0.0 |
| 2 | 0.0 |
| 3 | 0.2 |
| 4 | 0.0 |
| 5 | 0.0 |
| 6 | 0.0 |